(1)
DFT (GGA-PBE) results for a geometry-optimized Sc2BeNbSi structure. Values from VASP.

Geometry as Quantum ESPRESSO input:
```
&SYSTEM
  ibrav = 0, nat = 5, ntyp = 4
/
ATOMIC_SPECIES
Sc 44.96 Sc.upf
Be 9.01 Be.upf
Nb 92.91 Nb.upf
Si 28.09 Si.upf
ATOMIC_POSITIONS crystal
Sc 0.0000 0.5000 0.0000
Sc 0.5000 0.0000 0.0000
Be 0.0000 0.0000 0.5000
Nb 0.5000 0.5000 0.5000
Si 0.0000 0.0000 0.0000
CELL_PARAMETERS angstrom
5.0123 0.0000 0.0000
0.0000 5.0123 0.0000
0.0000 0.0000 3.9993
```

Values from the calculation:
Energy relative to the elements, uncorrected: 236.7 kJ/mol of formula units
Raw total energy: -5.89 eV/atom

(2)
DFT (GGA-PBE) results for a geometry-optimized ScTiBeNb2 structure. Values from VASP.

Geometry as Quantum ESPRESSO input:
```
&SYSTEM
  ibrav = 0, nat = 5, ntyp = 4
/
ATOMIC_SPECIES
Sc 44.96 Sc.upf
Ti 47.87 Ti.upf
Be 9.01 Be.upf
Nb 92.91 Nb.upf
ATOMIC_POSITIONS crystal
Sc 0.0000 0.0000 0.0000
Ti 0.0000 0.0000 0.5000
Be 0.5000 0.5000 0.0000
Nb 0.0000 0.5000 0.5000
Nb 0.5000 0.0000 0.5000
CELL_PARAMETERS angstrom
4.6501 0.0000 0.0000
0.0000 4.6501 0.0000
0.0000 0.0000 4.9698
```

Values from the calculation:
Raw total energy: -6.30 eV/atom
E_form: 1.315 eV per atom

(3)
DFT (GGA-PBE) results for a geometry-optimized ScTiBe2Nb structure. Values from VASP.

Geometry as Quantum ESPRESSO input:
```
&SYSTEM
  ibrav = 0, nat = 5, ntyp = 4
/
ATOMIC_SPECIES
Sc 44.96 Sc.upf
Ti 47.87 Ti.upf
Be 9.01 Be.upf
Nb 92.91 Nb.upf
ATOMIC_POSITIONS crystal
Sc 0.0000 0.0000 0.0000
Ti 0.5000 0.5000 0.0000
Be 0.0000 0.5000 0.5000
Be 0.5000 0.0000 0.5000
Nb 0.5000 0.5000 0.5000
CELL_PARAMETERS angstrom
4.5890 0.0000 0.0000
0.0000 4.5890 0.0000
0.0000 0.0000 4.5149
```

Values from the calculation:
Raw total energy: -5.48 eV/atom
E_form: 0.871 eV per atom

(4)
DFT (GGA-PBE) results for a geometry-optimized YSc2BeNb structure. Values from VASP.

Geometry as Quantum ESPRESSO input:
```
&SYSTEM
  ibrav = 0, nat = 5, ntyp = 4
/
ATOMIC_SPECIES
Y 88.91 Y.upf
Sc 44.96 Sc.upf
Be 9.01 Be.upf
Nb 92.91 Nb.upf
ATOMIC_POSITIONS crystal
Y 0.0000 0.0000 0.0000
Sc 0.0000 0.5000 0.5000
Sc 0.5000 0.0000 0.5000
Be 0.0000 0.0000 0.5000
Nb 0.5000 0.5000 0.0000
CELL_PARAMETERS angstrom
4.8116 0.0000 0.0000
0.0000 4.8116 0.0000
0.0000 0.0000 5.0799
```

Values from the calculation:
Raw total energy: -5.95 eV/atom
E_form: 0.631 eV per atom

(5)
DFT (GGA-PBE) results for a geometry-optimized BeNbSe2 structure. Values from VASP.

Geometry as Quantum ESPRESSO input:
```
&SYSTEM
  ibrav = 0, nat = 4, ntyp = 3
/
ATOMIC_SPECIES
Be 9.01 Be.upf
Nb 92.91 Nb.upf
Se 78.96 Se.upf
ATOMIC_POSITIONS crystal
Be 0.0000 0.0000 0.0000
Nb 0.5000 0.5000 0.5000
Se 0.2609 0.2609 0.2609
Se 0.7391 0.7391 0.7391
CELL_PARAMETERS angstrom
1.6912 0.9764 6.6786
-1.6912 0.9764 6.6786
0.0000 -1.9528 6.6786
```

Values from the calculation:
Energy relative to the elements, uncorrected: -122.4 kJ/mol of formula units
Raw total energy: -5.51 eV/atom

(6)
DFT (GGA-PBE) results for a geometry-optimized Be2NbSe structure. Values from VASP.

Geometry as Quantum ESPRESSO input:
```
&SYSTEM
  ibrav = 0, nat = 8, ntyp = 3
/
ATOMIC_SPECIES
Be 9.01 Be.upf
Nb 92.91 Nb.upf
Se 78.96 Se.upf
ATOMIC_POSITIONS crystal
Be 0.0856 0.1250 0.4606
Be 0.3750 0.9144 0.0394
Be 0.6644 0.6250 0.5394
Be 0.8750 0.3356 0.9606
Nb 0.2500 0.7500 0.5000
Nb 0.5000 0.5000 0.0000
Se 0.0000 0.0000 0.0000
Se 0.7500 0.2500 0.5000
CELL_PARAMETERS angstrom
-3.2749 3.2749 2.6352
3.2749 -3.2749 2.6352
3.2749 3.2749 -2.6352
```

Values from the calculation:
Energy relative to the elements, uncorrected: 111.0 kJ/mol of formula units
Raw total energy: -4.96 eV/atom

(7)
DFT (GGA-PBE) results for a geometry-optimized BeNbSe2 structure. Values from VASP.

Geometry as Quantum ESPRESSO input:
```
&SYSTEM
  ibrav = 0, nat = 8, ntyp = 3
/
ATOMIC_SPECIES
Be 9.01 Be.upf
Nb 92.91 Nb.upf
Se 78.96 Se.upf
ATOMIC_POSITIONS crystal
Be 0.0000 0.0000 0.0000
Be 0.7500 0.2500 0.5000
Nb 0.2500 0.7500 0.5000
Nb 0.5000 0.5000 0.0000
Se 0.0693 0.6250 0.9443
Se 0.3750 0.3193 0.4443
Se 0.6807 0.1250 0.0557
Se 0.8750 0.9307 0.5557
CELL_PARAMETERS angstrom
-2.8954 2.8954 5.1274
2.8954 -2.8954 5.1274
2.8954 2.8954 -5.1274
```

Values from the calculation:
Energy relative to the elements, uncorrected: -87.4 kJ/mol of formula units
Raw total energy: -5.42 eV/atom

(8)
DFT (GGA-PBE) results for a geometry-optimized BeNbSe3 structure. Values from VASP.

Geometry as Quantum ESPRESSO input:
```
&SYSTEM
  ibrav = 0, nat = 5, ntyp = 3
/
ATOMIC_SPECIES
Be 9.01 Be.upf
Nb 92.91 Nb.upf
Se 78.96 Se.upf
ATOMIC_POSITIONS crystal
Be 0.0000 0.0000 0.0000
Nb 0.5000 0.5000 0.5000
Se 0.0000 0.0000 0.5000
Se 0.0000 0.5000 0.0000
Se 0.5000 0.0000 0.0000
CELL_PARAMETERS angstrom
4.5517 0.0000 0.0000
0.0000 4.5517 0.0000
0.0000 0.0000 4.5517
```

Values from the calculation:
Energy relative to the elements, uncorrected: 157.9 kJ/mol of formula units
Raw total energy: -4.52 eV/atom

(9)
DFT (GGA-PBE) results for a geometry-optimized BeNbSe3 structure. Values from VASP.

Geometry as Quantum ESPRESSO input:
```
&SYSTEM
  ibrav = 0, nat = 5, ntyp = 3
/
ATOMIC_SPECIES
Be 9.01 Be.upf
Nb 92.91 Nb.upf
Se 78.96 Se.upf
ATOMIC_POSITIONS crystal
Be 0.0000 0.0000 0.0000
Nb 0.5000 0.5000 0.5000
Se 0.0000 0.5000 0.5000
Se 0.5000 0.0000 0.5000
Se 0.5000 0.5000 0.0000
CELL_PARAMETERS angstrom
5.0469 0.0000 0.0000
0.0000 5.0469 0.0000
0.0000 0.0000 5.0469
```

Values from the calculation:
Energy relative to the elements, uncorrected: 180.0 kJ/mol of formula units
Raw total energy: -4.48 eV/atom

(10)
DFT (GGA-PBE) results for a geometry-optimized BeNb2Se structure. Values from VASP.

Geometry as Quantum ESPRESSO input:
```
&SYSTEM
  ibrav = 0, nat = 8, ntyp = 3
/
ATOMIC_SPECIES
Be 9.01 Be.upf
Nb 92.91 Nb.upf
Se 78.96 Se.upf
ATOMIC_POSITIONS crystal
Be 0.0000 0.0000 0.0000
Be 0.7500 0.2500 0.5000
Nb 0.0668 0.6250 0.9418
Nb 0.3750 0.3168 0.4418
Nb 0.6832 0.1250 0.0582
Nb 0.8750 0.9332 0.5582
Se 0.2500 0.7500 0.5000
Se 0.5000 0.5000 0.0000
CELL_PARAMETERS angstrom
-2.6351 2.6351 5.9861
2.6351 -2.6351 5.9861
2.6351 2.6351 -5.9861
```

Values from the calculation:
Energy relative to the elements, uncorrected: 265.0 kJ/mol of formula units
Raw total energy: -6.15 eV/atom